[1]
! PBE Al2O3, optimized geometry; values from VASP
&SYSTEM
  ibrav = 0, nat = 40, ntyp = 2
/
ATOMIC_SPECIES
Al 26.98 Al.upf
O 16.00 O.upf
CELL_PARAMETERS angstrom
-4.489 4.489 4.489
4.489 -4.489 4.489
4.489 4.489 -4.489
ATOMIC_POSITIONS crystal
Al 0.000 0.000 0.000
Al 0.000 0.500 0.500
Al 0.038 0.788 0.250
Al 0.212 0.750 0.962
Al 0.250 0.038 0.788
Al 0.250 0.538 0.288
Al 0.288 0.250 0.538
Al 0.462 0.712 0.750
Al 0.500 0.000 0.500
Al 0.500 0.500 0.000
Al 0.538 0.288 0.250
Al 0.712 0.750 0.462
Al 0.750 0.462 0.712
Al 0.750 0.962 0.212
Al 0.788 0.250 0.038
Al 0.962 0.212 0.750
O 0.003 0.454 0.729
O 0.046 0.049 0.275
O 0.049 0.275 0.046
O 0.225 0.273 0.771
O 0.227 0.451 0.497
O 0.229 0.775 0.727
O 0.271 0.997 0.546
O 0.273 0.771 0.225
O 0.275 0.046 0.049
O 0.451 0.497 0.227
O 0.454 0.729 0.003
O 0.497 0.227 0.451
O 0.503 0.773 0.549
O 0.546 0.271 0.997
O 0.549 0.503 0.773
O 0.725 0.954 0.951
O 0.727 0.229 0.775
O 0.729 0.003 0.454
O 0.771 0.225 0.273
O 0.773 0.549 0.503
O 0.775 0.727 0.229
O 0.951 0.725 0.954
O 0.954 0.951 0.725
O 0.997 0.546 0.271
! ΔE_f (raw)   -1437 kJ/mol of formula units

=====

[2]
! PBE Sm2Er6Zn, optimized geometry; values from VASP
&SYSTEM
  ibrav = 0, nat = 18, ntyp = 3
/
ATOMIC_SPECIES
Sm 150.36 Sm.upf
Er 167.26 Er.upf
Zn 65.41 Zn.upf
CELL_PARAMETERS angstrom
9.705 0.000 0.000
0.000 10.138 0.000
0.000 0.000 5.361
ATOMIC_POSITIONS crystal
Sm 0.191 0.245 0.000
Sm 0.309 0.745 0.500
Sm 0.691 0.255 0.500
Sm 0.809 0.755 0.000
Er 0.018 0.315 0.500
Er 0.134 0.896 0.000
Er 0.188 0.571 0.000
Er 0.312 0.071 0.500
Er 0.366 0.396 0.500
Er 0.482 0.815 0.000
Er 0.518 0.185 0.000
Er 0.634 0.604 0.500
Er 0.688 0.929 0.500
Er 0.812 0.429 0.000
Er 0.866 0.104 0.000
Er 0.982 0.685 0.500
Zn 0.000 0.000 0.500
Zn 0.500 0.500 0.000
! Energy relative to the elements   36 meV per atom